{"formula": "NaAg2H8Pt3", "functional": "PBE-GGA", "state": "relaxed", "lattice": [[5.852, 0.000, 0.000], [2.926, 5.068, 0.000], [2.926, 1.689, 4.963]], "species": ["H", "Ag", "Pt", "H", "H", "H", "H", "H", "H", "Pt", "Pt", "Ag", "H", "Na"], "frac_coords": [[0.753, 0.323, 0.171], [0.498, 0.498, 0.507], [0.001, 0.498, 0.002], [0.269, 0.269, 0.194], [0.722, 0.722, 0.835], [0.753, 0.753, 0.171], [0.236, 0.700, 0.829], [0.323, 0.753, 0.171], [0.236, 0.236, 0.829], [0.498, 0.001, 0.002], [0.498, 0.498, 0.002], [0.138, 0.138, 0.587], [0.700, 0.236, 0.829], [0.869, 0.869, 0.393]], "final_energy_ry_per_atom": -0.269, "volume_a3_per_fu": 147.2, "total_magnetization_mub_per_cell": 0.0}